The following is a PBE calculation of a geometry-optimized Sc3InRu structure, from Alexandria.

abc: 4.9823 4.9823 4.9823
angles: 90.00 90.00 90.00
Last column: nearest neighbours and their distance in Å.
Element x y z (fractional)
Sc (0.0000, 0.0000, 0.5000)  2 Ru 2.49
Sc (0.0000, 0.5000, 0.0000)  2 Ru 2.49
Sc (0.5000, 0.0000, 0.0000)  2 Ru 2.49
In (0.5000, 0.5000, 0.5000)  12 Sc 3.52
Ru (0.0000, 0.0000, 0.0000)  6 Sc 2.49

Properties
Calculated density: 4.71 Mg/m³
Polymorph energy (0 for the lowest one): 0.255 eV per atom
Energy: -31.9 eV/f.u.
Energy of formation from the pure elements: -0.8 eV per formula unit